Entry 1:
Ac2TmMn2N6: optimized geometry, PBE-GGA.

Lattice parameters (Å, degrees): 5.704 5.704 6.873 65.48 65.48 60.00
Element x y z (fractional)
N 0.741 0.741 0.273
N 0.259 0.755 0.727
N 0.741 0.245 0.273
N 0.259 0.259 0.727
N 0.245 0.741 0.273
N 0.755 0.259 0.727
Mn 0.598 0.598 0.206
Mn 0.402 0.402 0.794
Tm 0.000 0.000 0.000
Ac 0.785 0.785 0.646
Ac 0.215 0.215 0.354

Computed properties:
SG: No. 166
Volume (Å³ per cell): 170.0
Energy relative to the elements, uncorrected (eV/atom): -0.79
Energy (eV per atom): -8.16


Entry 2:
Ac2UMnN6: optimized geometry, PBE-GGA.

Lattice parameters (Å, degrees): 4.141 4.141 8.256 90.00 90.00 90.00
Element x y z (fractional)
U 0.500 0.500 0.000
Mn 0.500 0.500 0.500
N 0.500 0.500 0.736
N 0.000 0.500 0.500
N 0.000 0.500 0.000
N 0.500 0.000 0.000
N 0.500 0.000 0.500
N 0.500 0.500 0.264
Ac 0.000 0.000 0.282
Ac 0.000 0.000 0.718

Computed properties:
SG: No. 123
Volume (Å³ per cell): 141.6
Energy relative to the elements, uncorrected (eV/atom): -0.82
Energy (eV per atom): -8.68


Entry 3:
AcU2MnN5: optimized geometry, PBE-GGA.

Lattice parameters (Å, degrees): 5.661 6.527 6.527 90.00 90.00 90.00
Element x y z (fractional)
U 0.500 0.827 0.673
U 0.500 0.173 0.327
U 0.500 0.673 0.173
U 0.500 0.327 0.827
Mn 0.000 0.500 0.000
Mn 0.000 0.000 0.500
N 0.753 0.854 0.354
N 0.500 0.000 0.000
N 0.753 0.146 0.646
N 0.753 0.646 0.854
N 0.247 0.646 0.854
N 0.753 0.354 0.146
N 0.247 0.854 0.354
N 0.500 0.500 0.500
N 0.247 0.354 0.146
N 0.247 0.146 0.646
Ac 0.000 0.000 0.000
Ac 0.000 0.500 0.500

Computed properties:
SG: No. 127
Volume (Å³ per cell): 241.2
Energy relative to the elements, uncorrected (eV/atom): -1.16
Energy (eV per atom): -9.77


Entry 4:
Ac2UMn2N6: optimized geometry, PBE-GGA.

Lattice parameters (Å, degrees): 5.935 5.935 6.459 62.65 62.65 60.00
Element x y z (fractional)
N 0.247 0.750 0.756
N 0.753 0.753 0.244
N 0.753 0.250 0.244
N 0.250 0.753 0.244
N 0.247 0.247 0.756
N 0.750 0.247 0.756
Mn 0.439 0.439 0.682
Mn 0.561 0.561 0.318
U 0.000 0.000 0.000
Ac 0.775 0.775 0.676
Ac 0.225 0.225 0.324

Computed properties:
SG: No. 166
Volume (Å³ per cell): 167.0
Energy relative to the elements, uncorrected (eV/atom): -0.90
Energy (eV per atom): -8.88


Entry 5:
AcY2MnN4: optimized geometry, PBE-GGA.

Lattice parameters (Å, degrees): 3.490 6.175 11.751 90.00 90.00 106.41
Element x y z (fractional)
Ac 0.900 0.800 0.250
Ac 0.100 0.200 0.750
N 0.417 0.835 0.750
N 0.000 0.000 0.000
N 0.265 0.531 0.376
N 0.583 0.165 0.250
N 0.000 0.000 0.500
N 0.735 0.469 0.876
N 0.265 0.531 0.124
N 0.735 0.469 0.624
Y 0.630 0.261 0.455
Y 0.630 0.261 0.045
Y 0.370 0.739 0.955
Y 0.370 0.739 0.545
Mn 0.833 0.665 0.750
Mn 0.167 0.335 0.250

Computed properties:
SG: No. 63
Volume (Å³ per cell): 242.9
Energy relative to the elements, uncorrected (eV/atom): -1.17
Energy (eV per atom): -8.61


Entry 6:
AcMnZn2N4: optimized geometry, PBE-GGA.

Lattice parameters (Å, degrees): 5.406 5.287 5.287 87.38 59.25 59.25
Element x y z (fractional)
N 0.000 0.456 0.165
N 0.379 0.165 0.456
N 0.621 0.544 0.835
N 0.000 0.835 0.544
Ac 0.000 0.000 0.000
Zn 0.500 0.750 0.250
Zn 0.500 0.250 0.750
Mn 0.000 0.500 0.500

Computed properties:
SG: No. 121
Volume (Å³ per cell): 106.7
Energy relative to the elements, uncorrected (eV/atom): -0.33
Energy (eV per atom): -6.47